Entry 1:
DFT (PBE) results for a relaxed MgZr3Co crystal.

Lattice parameters (Å, degrees): 4.8746 4.8746 4.8746 90.00 90.00 90.00
Space group Pm-3m (No. 221)
Inequivalent atoms, fractional coordinates:
Mg 0.0000 0.0000 0.0000 [1 per cell]
Zr 0.0000 0.5000 0.5000 [3 per cell]
Co 0.5000 0.5000 0.5000 [1 per cell]

Output
Its crystal system is cubic. For the volume, the calculation gives 115.8 Å³/cell. The formation energy from the elements is 0.17 eV/atom. As for the total energy: -33.52 eV for the cell shown. As for the energy above the lowest structure with this stoichiometry: 0.000 eV per atom.

=====

Entry 2:
DFT (PBE) results for a relaxed YUSN2 crystal.

Lattice parameters (Å, degrees): 3.7859 3.7859 11.9645 90.00 90.00 90.00
Space group I4mm (No. 107)
Inequivalent atoms, fractional coordinates:
Y 0.0000 0.0000 0.0000 [2 per cell]
U 0.0000 0.0000 0.3081 [2 per cell]
S 0.0000 0.0000 0.6522 [2 per cell]
N 0.0000 0.5000 0.3927 [4 per cell]

Output
The value obtained for the energy relative to the elements, uncorrected is -1547 meV/atom. Its crystal system is tetragonal. For the volume, the calculation gives 171.5 Å³/cell. As for the total energy: -92.53 eV for the cell shown.

=====

Entry 3:
DFT (PBE) results for a relaxed Pm5Mg2Ir2 crystal.

Lattice parameters (Å, degrees): 17.0476 7.6512 7.9217 90.00 90.00 90.00
Space group Cmce (No. 64)
Inequivalent atoms, fractional coordinates:
Pm 0.0000 0.0000 0.0000 [4 per cell]
Pm 0.1123 0.1734 0.3237 [16 per cell]
Mg 0.2220 0.0000 0.0000 [8 per cell]
Ir 0.0000 0.1286 0.6301 [8 per cell]

Output
Its crystal system is orthorhombic. For the volume, the calculation gives 1033.3 Å³/cell. The formation energy from the elements is -0.36 eV/atom. As for the total energy: -191.62 eV for the cell shown.

=====

Entry 4:
DFT (PBE) results for a relaxed Sm3TmPu3Te8 crystal.

Lattice parameters (Å, degrees): 8.8441 8.8441 21.6957 90.00 90.00 120.00
Space group R-3m (No. 166, hexagonal axes)
Inequivalent atoms, fractional coordinates:
Sm 0.0000 0.5000 0.0000 [9 per cell]
Tm 0.0000 0.0000 0.0000 [3 per cell]
Pu 0.0000 0.5000 0.5000 [9 per cell]
Te 0.0000 0.0000 0.2491 [6 per cell]
Te 0.0024 0.5012 0.7495 [18 per cell]

Output
The value obtained for the energy relative to the elements, uncorrected is -1289 meV/atom. Its crystal system is trigonal. For the volume, the calculation gives 1469.6 Å³/cell. As for the total energy: -318.27 eV for the cell shown.

=====

Entry 5:
DFT (PBE) results for a relaxed TmAlRh2 crystal.

Lattice parameters (Å, degrees): 3.2185 3.2185 6.3295 90.00 90.00 90.00
Space group P4/mmm (No. 123)
Inequivalent atoms, fractional coordinates:
Tm 0.0000 0.0000 0.0000 [1 per cell]
Al 0.0000 0.0000 0.5000 [1 per cell]
Rh 0.5000 0.5000 0.2771 [2 per cell]

Output
Its crystal system is tetragonal. For the volume, the calculation gives 65.6 Å³/cell. The formation energy from the elements is -0.95 eV/atom. As for the total energy: -26.74 eV for the cell shown.

=====

Entry 6:
DFT (PBE) results for a relaxed ZrInBr crystal.

Lattice parameters (Å, degrees): 3.3881 5.8771 17.2108 90.00 90.00 90.00
Space group Fmm2 (No. 42)
Inequivalent atoms, fractional coordinates:
Zr 0.0000 0.0000 0.0000 [4 per cell]
In 0.0000 0.0000 0.3557 [4 per cell]
Br 0.0000 0.0000 0.6228 [4 per cell]

Output
The value obtained for the energy relative to the elements, uncorrected is -338 meV/atom. Its crystal system is orthorhombic. For the volume, the calculation gives 342.7 Å³/cell. As for the total energy: -55.89 eV for the cell shown. As for the energy above the lowest structure with this stoichiometry: 0.207 eV per atom.

=====

Entry 7:
DFT (PBE) results for a relaxed La3Pr2Cd2 crystal.

Lattice parameters (Å, degrees): 11.9870 5.4838 6.9750 90.00 92.00 90.00
Space group C2/m (No. 12)
Inequivalent atoms, fractional coordinates:
La 0.0000 0.0000 0.0000 [2 per cell]
La 0.2041 0.5000 0.8393 [4 per cell]
Pr 0.1044 0.5000 0.3273 [4 per cell]
Cd 0.1182 0.0000 0.5765 [4 per cell]

Output
Its crystal system is monoclinic. For the volume, the calculation gives 458.2 Å³/cell. The formation energy from the elements is -0.16 eV/atom. As for the total energy: -54.53 eV for the cell shown. As for the energy above the lowest structure with this stoichiometry: 0.000 eV per atom.

=====

Entry 8:
DFT (PBE) results for a relaxed TlRu2 crystal.

Lattice parameters (Å, degrees): 6.3279 6.3279 6.3279 90.00 90.00 90.00
Space group Pa-3 (No. 205)
Inequivalent atoms, fractional coordinates:
Tl 0.0000 0.0000 0.0000 [4 per cell]
Ru 0.1025 0.6025 0.8975 [8 per cell]

Output
Its crystal system is cubic. For the volume, the calculation gives 253.4 Å³/cell. The formation energy from the elements is 1.42 eV/atom. As for the total energy: -66.67 eV for the cell shown. As for the energy above the lowest structure with this stoichiometry: 1.008 eV per atom.

=====

Entry 9:
DFT (PBE) results for a relaxed Co2AgSb crystal.

Lattice parameters (Å, degrees): 4.0796 3.2469 9.5546 90.00 90.00 90.00
Space group Amm2 (No. 38)
Inequivalent atoms, fractional coordinates:
Co 0.0000 0.0000 0.0000 [2 per cell]
Co 0.5000 0.0000 0.1383 [2 per cell]
Ag 0.5000 0.0000 0.4175 [2 per cell]
Sb 0.0000 0.0000 0.7206 [2 per cell]

Output
The value obtained for the energy relative to the elements, uncorrected is 302 meV/atom. Its crystal system is orthorhombic. For the volume, the calculation gives 126.6 Å³/cell. As for the total energy: -39.95 eV for the cell shown.

=====

Entry 10:
DFT (PBE) results for a relaxed La2NpZnSe5 crystal.

Lattice parameters (Å, degrees): 4.1407 18.1152 12.3703 90.00 90.00 90.00
Space group Cmc2_1 (No. 36)
Inequivalent atoms, fractional coordinates:
La 0.0000 0.1147 0.0000 [4 per cell]
La 0.0000 0.1263 0.6270 [4 per cell]
Np 0.0000 0.2014 0.3254 [4 per cell]
Zn 0.0000 0.4444 0.7668 [4 per cell]
Se 0.0000 0.0432 0.3742 [4 per cell]
Se 0.0000 0.2920 0.9881 [4 per cell]
Se 0.0000 0.3155 0.6642 [4 per cell]
Se 0.0000 0.3610 0.3171 [4 per cell]
Se 0.0000 0.4978 0.0891 [4 per cell]

Output
The value obtained for the energy relative to the elements, uncorrected is -1477 meV/atom. Its crystal system is orthorhombic. For the volume, the calculation gives 927.9 Å³/cell. As for the total energy: -219.14 eV for the cell shown.

=====

Entry 11:
DFT (PBE) results for a relaxed SmHoAgAu crystal.

Lattice parameters (Å, degrees): 3.6152 3.6152 7.4013 90.00 90.00 90.00
Space group P4mm (No. 99)
Inequivalent atoms, fractional coordinates:
Sm 0.0000 0.0000 0.0000 [1 per cell]
Ho 0.0000 0.0000 0.5112 [1 per cell]
Ag 0.5000 0.5000 0.2708 [1 per cell]
Au 0.5000 0.5000 0.7380 [1 per cell]

Output
Its crystal system is tetragonal. For the volume, the calculation gives 96.7 Å³/cell. The formation energy from the elements is -0.58 eV/atom. As for the total energy: -17.73 eV for the cell shown. As for the energy above the lowest structure with this stoichiometry: 0.000 eV per atom.

=====

Entry 12:
DFT (PBE) results for a relaxed Ca crystal.

Lattice parameters (Å, degrees): 11.5776 11.5776 11.5776 90.00 90.00 90.00
Space group I-43m (No. 217)
Inequivalent atoms, fractional coordinates:
Ca 0.1126 0.1126 0.8874 [8 per cell]
Ca 0.1977 0.1977 0.1977 [8 per cell]

Output
Its crystal system is cubic. For the volume, the calculation gives 1551.9 Å³/cell. The formation energy from the elements is 0.88 eV/atom. As for the total energy: -17.87 eV for the cell shown. As for the energy above the lowest structure with this stoichiometry: 0.885 eV per atom.

=====

Entry 13:
DFT (PBE) results for a relaxed BeCo2Si crystal.

Lattice parameters (Å, degrees): 2.5475 2.5475 22.5565 90.00 90.00 120.00
Space group R3m (No. 160, hexagonal axes)
Inequivalent atoms, fractional coordinates:
Be 0.0000 0.0000 0.0000 [3 per cell]
Co 0.0000 0.0000 0.4984 [3 per cell]
Co 0.0000 0.0000 0.7439 [3 per cell]
Si 0.0000 0.0000 0.2459 [3 per cell]

Output
The value obtained for the energy relative to the elements, uncorrected is -4 meV/atom. Its crystal system is trigonal. For the volume, the calculation gives 126.8 Å³/cell. As for the total energy: -70.14 eV for the cell shown. As for the energy above the lowest structure with this stoichiometry: 0.593 eV per atom.

=====

Entry 14:
DFT (PBE) results for a relaxed BeIn2P crystal.

Lattice parameters (Å, degrees): 6.2516 6.2516 10.3057 90.00 90.00 90.00
Space group I-42d (No. 122)
Inequivalent atoms, fractional coordinates:
Be 0.0000 0.0000 0.0000 [4 per cell]
In 0.2427 0.2500 0.1250 [8 per cell]
P 0.0000 0.0000 0.5000 [4 per cell]

Output
Its crystal system is tetragonal. For the volume, the calculation gives 402.8 Å³/cell. The formation energy from the elements is 0.43 eV/atom. As for the total energy: -51.58 eV for the cell shown. As for the energy above the lowest structure with this stoichiometry: 0.325 eV per atom.

=====

Entry 15:
DFT (PBE) results for a relaxed Cd2IrAu crystal.

Lattice parameters (Å, degrees): 3.4455 3.4455 6.1849 90.00 90.00 90.00
Space group P4mm (No. 99)
Inequivalent atoms, fractional coordinates:
Cd 0.0000 0.0000 0.0000 [1 per cell]
Cd 0.5000 0.5000 0.2853 [1 per cell]
Ir 0.0000 0.0000 0.5073 [1 per cell]
Au 0.5000 0.5000 0.7612 [1 per cell]

Output
Its crystal system is tetragonal. For the volume, the calculation gives 73.4 Å³/cell. The formation energy from the elements is 0.20 eV/atom. As for the total energy: -13.15 eV for the cell shown. As for the energy above the lowest structure with this stoichiometry: 0.175 eV per atom.

=====

Entry 16:
DFT (PBE) results for a relaxed TiHgI2N crystal.

Lattice parameters (Å, degrees): 6.1765 6.1765 3.9261 90.00 90.00 90.00
Space group P4/mmm (No. 123)
Inequivalent atoms, fractional coordinates:
Ti 0.0000 0.0000 0.0000 [1 per cell]
Hg 0.5000 0.5000 0.5000 [1 per cell]
I 0.0000 0.5000 0.5000 [2 per cell]
N 0.5000 0.5000 0.0000 [1 per cell]

Output
The value obtained for the energy relative to the elements, uncorrected is 1240 meV/atom. Its crystal system is tetragonal. For the volume, the calculation gives 149.8 Å³/cell. As for the total energy: -13.42 eV for the cell shown. As for the energy above the lowest structure with this stoichiometry: 1.374 eV per atom.

=====

Entry 17:
DFT (PBE) results for a relaxed CoOsCl2 crystal.

Lattice parameters (Å, degrees): 2.9201 4.2807 13.8651 90.00 90.00 90.00
Space group Immm (No. 71)
Inequivalent atoms, fractional coordinates:
Co 0.0000 0.0000 0.0000 [2 per cell]
Os 0.0000 0.0000 0.5000 [2 per cell]
Cl 0.0000 0.5000 0.1384 [4 per cell]

Output
The value obtained for the energy relative to the elements, uncorrected is 474 meV/atom. Its crystal system is orthorhombic. For the volume, the calculation gives 173.3 Å³/cell. As for the total energy: -40.26 eV for the cell shown. As for the energy above the lowest structure with this stoichiometry: 0.289 eV per atom.

=====

Entry 18:
DFT (PBE) results for a relaxed Sn2TeRu2 crystal.

Lattice parameters (Å, degrees): 7.8005 7.8005 3.1633 90.00 90.00 90.00
Space group P4/mbm (No. 127)
Inequivalent atoms, fractional coordinates:
Sn 0.1435 0.3565 0.0000 [4 per cell]
Te 0.0000 0.0000 0.5000 [2 per cell]
Ru 0.1517 0.6517 0.5000 [4 per cell]

Output
The value obtained for the energy relative to the elements, uncorrected is 16 meV/atom. Its crystal system is tetragonal. For the volume, the calculation gives 192.5 Å³/cell. As for the total energy: -59.24 eV for the cell shown.

=====

Entry 19:
DFT (PBE) results for a relaxed CsNa3Rh crystal.

Lattice parameters (Å, degrees): 5.9157 5.9157 5.9157 90.00 90.00 90.00
Space group Pm-3m (No. 221)
Inequivalent atoms, fractional coordinates:
Cs 0.0000 0.0000 0.0000 [1 per cell]
Na 0.0000 0.0000 0.5000 [3 per cell]
Rh 0.5000 0.5000 0.5000 [1 per cell]

Output
Its crystal system is cubic. For the volume, the calculation gives 207.0 Å³/cell. The formation energy from the elements is 1.34 eV/atom. As for the total energy: -5.47 eV for the cell shown. As for the energy above the lowest structure with this stoichiometry: 0.993 eV per atom.

=====

Entry 20:
DFT (PBE) results for a relaxed CdS crystal.

Lattice parameters (Å, degrees): 7.2996 7.3607 8.9148 90.00 90.00 90.00
Space group P2_12_12_1 (No. 19)
Inequivalent atoms, fractional coordinates:
Cd 0.1293 0.0765 0.2181 [4 per cell]
Cd 0.1480 0.6047 0.9669 [4 per cell]
S 0.1794 0.4249 0.2188 [4 per cell]
S 0.2020 0.0834 0.5126 [4 per cell]

Output
The value obtained for the energy relative to the elements, uncorrected is -514 meV/atom. Its crystal system is orthorhombic. For the volume, the calculation gives 479.0 Å³/cell. As for the total energy: -48.57 eV for the cell shown.

=====

Entry 21:
DFT (PBE) results for a relaxed Li2TaPd3 crystal.

Lattice parameters (Å, degrees): 2.9429 2.9429 9.9319 90.00 90.00 90.00
Space group P4/mmm (No. 123)
Inequivalent atoms, fractional coordinates:
Li 0.0000 0.0000 0.1496 [2 per cell]
Ta 0.0000 0.0000 0.5000 [1 per cell]
Pd 0.5000 0.5000 0.0000 [1 per cell]
Pd 0.5000 0.5000 0.3107 [2 per cell]

Output
Its crystal system is tetragonal. For the volume, the calculation gives 86.0 Å³/cell. The formation energy from the elements is -0.40 eV/atom. As for the total energy: -33.66 eV for the cell shown.

=====

Entry 22:
DFT (PBE) results for a relaxed La3Sm3Tm8 crystal.

Lattice parameters (Å, degrees): 5.6571 10.7468 15.2645 90.00 90.00 90.00
Space group Immm (No. 71)
Inequivalent atoms, fractional coordinates:
La 0.0000 0.0000 0.0000 [2 per cell]
La 0.0000 0.5000 0.3116 [4 per cell]
Sm 0.0000 0.0000 0.5000 [2 per cell]
Sm 0.0000 0.2998 0.5000 [4 per cell]
Tm 0.0000 0.1623 0.2810 [8 per cell]
Tm 0.0000 0.3409 0.1019 [8 per cell]

Output
Its crystal system is orthorhombic. For the volume, the calculation gives 928.0 Å³/cell. The formation energy from the elements is 0.10 eV/atom. As for the total energy: -126.51 eV for the cell shown.

=====

Entry 23:
DFT (PBE) results for a relaxed VFePS2 crystal.

Lattice parameters (Å, degrees): 4.5724 4.5724 4.3864 90.00 90.00 90.00
Space group P4/mmm (No. 123)
Inequivalent atoms, fractional coordinates:
V 0.0000 0.0000 0.0000 [1 per cell]
Fe 0.5000 0.5000 0.0000 [1 per cell]
P 0.0000 0.0000 0.5000 [1 per cell]
S 0.0000 0.5000 0.5000 [2 per cell]

Output
The value obtained for the energy relative to the elements, uncorrected is 986 meV/atom. Its crystal system is tetragonal. For the volume, the calculation gives 91.7 Å³/cell. As for the total energy: -26.32 eV for the cell shown. As for the energy above the lowest structure with this stoichiometry: 0.544 eV per atom.

=====

Entry 24:
DFT (PBE) results for a relaxed Ac2PmSe5 crystal.

Lattice parameters (Å, degrees): 9.9317 7.7154 8.0404 90.00 122.35 90.00
Space group Cm (No. 8)
Inequivalent atoms, fractional coordinates:
Ac 0.0000 0.0000 0.0000 [2 per cell]
Ac 0.0324 0.5000 0.4362 [2 per cell]
Pm 0.2560 0.0000 0.6460 [2 per cell]
Se 0.1768 0.2689 0.8233 [4 per cell]
Se 0.2306 0.2424 0.3425 [4 per cell]
Se 0.4451 0.5000 0.3325 [2 per cell]

Output
The value obtained for the energy relative to the elements, uncorrected is -1505 meV/atom. Its crystal system is monoclinic. For the volume, the calculation gives 520.5 Å³/cell. As for the total energy: -84.86 eV for the cell shown.